(1)
TlSb2OsI | Alexandria via LeMat-Bulk | GGA-PBE | relaxed; Fermi-level density of states = 0.64 states/eV/atom; polymorph energy (0 for the lowest one) = 0.0 kJ/mol of formula units; V = 159 Å³ per cell; magnetic moment = 0.0 μB/cell; SG = P4/mmm (123)
1.0
5.100 0.000 0.000
0.000 5.100 0.000
0.000 0.000 6.100
Sb Os Tl I
2 1 1 1
direct
0.500 0.000 0.000
0.000 0.500 0.000
0.000 0.000 0.000
0.500 0.500 0.500
0.000 0.000 0.500


(2)
KZnCo2Pt | Alexandria via LeMat-Bulk | GGA-PBE | relaxed; VASP energy = -2.43 eV/atom; Fermi-level density of states = 1.09 states/eV/atom; V = 89 Å³ per cell; magnetic moment = 2.9 μB/cell; SG = P4/mmm (123)
1.0
-1.632 -3.933 0.289
0.795 -0.681 -4.789
3.883 -1.548 0.864
Zn K Co Pt
1 1 2 1
direct
0.000 0.500 0.000
0.000 0.000 0.000
0.500 0.000 0.000
0.000 0.000 0.500
0.500 0.500 0.500


(3)
TlFeAg2 | Alexandria via LeMat-Bulk | GGA-PBE | relaxed; Fermi-level density of states = 1.28 states/eV/atom; polymorph energy (0 for the lowest one) = 38.5 kJ/mol of formula units; V = 78 Å³ per cell; magnetic moment = 2.9 μB/cell; SG = R-3m (166)
1.0
9.666 -0.075 -0.044
9.199 2.970 -0.044
9.199 1.412 2.613
Tl Fe Ag
1 1 2
direct
0.250 0.250 0.250
0.750 0.750 0.750
0.010 0.010 0.010
0.490 0.490 0.490


(4)
TcPbO4 | Alexandria via LeMat-Bulk | GGA-PBE | relaxed; Fermi-level density of states = 0.55 states/eV/atom; polymorph energy (0 for the lowest one) = 0.0 kJ/mol of formula units; V = 415 Å³ per cell; magnetic moment = 4.1 μB/cell; SG = P2_1/c (14)
1.0
6.167 0.314 0.000
-0.595 7.712 0.000
0.000 0.000 8.696
O Pb Tc
16 4 4
direct
0.978 0.732 0.799
0.936 0.339 0.632
0.478 0.232 0.701
0.022 0.268 0.201
0.763 0.993 0.549
0.855 0.094 0.868
0.237 0.007 0.451
0.737 0.507 0.049
0.263 0.493 0.951
0.064 0.661 0.368
0.564 0.161 0.132
0.145 0.906 0.132
0.522 0.768 0.299
0.645 0.406 0.368
0.355 0.594 0.632
0.436 0.839 0.868
0.747 0.673 0.539
0.753 0.827 0.039
0.247 0.173 0.961
0.253 0.327 0.461
0.247 0.837 0.315
0.253 0.663 0.815
0.747 0.337 0.185
0.753 0.163 0.685


(5)
Pm3HgPd3 | Alexandria via LeMat-Bulk | GGA-PBE | relaxed; VASP energy = -4.82 eV/atom; Fermi-level density of states = 0.52 states/eV/atom; V = 389 Å³ per cell; magnetic moment = 0.0 μB/cell; SG = P6_3/m (176)
1.0
5.726 0.000 0.000
0.000 8.859 0.000
0.000 -4.429 7.672
Pm Pd Hg
6 6 2
direct
0.750 0.370 0.044
0.250 0.630 0.956
0.750 0.956 0.326
0.250 0.326 0.370
0.750 0.674 0.630
0.250 0.044 0.674
0.750 0.303 0.335
0.250 0.697 0.665
0.750 0.032 0.697
0.250 0.968 0.303
0.250 0.335 0.032
0.750 0.665 0.968
0.750 0.333 0.667
0.250 0.667 0.333


(6)
LiMg3Bi | Alexandria via LeMat-Bulk | GGA-PBE | relaxed; Fermi-level density of states = 0.44 states/eV/atom; polymorph energy (0 for the lowest one) = 0.0 kJ/mol of formula units; V = 124 Å³ per cell; magnetic moment = 0.0 μB/cell; SG = Pm-3m (221)
1.0
4.987 0.000 0.000
0.000 4.987 0.000
0.000 0.000 4.987
Li Bi Mg
1 1 3
direct
0.000 0.000 0.000
0.500 0.500 0.500
0.500 0.000 0.000
0.000 0.500 0.000
0.000 0.000 0.500


(7)
YReAu | Alexandria via LeMat-Bulk | GGA-PBE | relaxed; Fermi-level density of states = 1.24 states/eV/atom; polymorph energy (0 for the lowest one) = 24.2 kJ/mol of formula units; V = 58 Å³ per cell; magnetic moment = 0.0 μB/cell; SG = I4mm (107)
1.0
-0.359 -6.789 0.217
2.369 -6.232 1.349
-1.042 -0.521 2.770
Au Re Y
1 1 1
direct
0.011 0.011 0.989
0.659 0.659 0.341
0.329 0.329 0.671


(8)
PmTm12Al3 | Alexandria via LeMat-Bulk | GGA-PBE | relaxed; VASP energy = -4.48 eV/atom; Fermi-level density of states = 0.97 states/eV/atom; V = 434 Å³ per cell; magnetic moment = 0.0 μB/cell; SG = P4/mmm (123)
1.0
4.737 0.000 0.000
0.000 4.737 0.000
0.000 0.000 19.317
Tm Al Pm
12 3 1
direct
0.000 0.500 0.136
0.500 0.000 0.864
0.500 0.500 0.000
0.000 0.500 0.379
0.000 0.500 0.864
0.000 0.500 0.621
0.500 0.000 0.379
0.500 0.000 0.136
0.500 0.500 0.741
0.500 0.500 0.500
0.500 0.000 0.621
0.500 0.500 0.259
0.000 0.000 0.500
0.000 0.000 0.741
0.000 0.000 0.259
0.000 0.000 0.000


(9)
MgAgSnRu2 | Alexandria via LeMat-Bulk | GGA-PBE | relaxed; VASP energy = -4.24 eV/atom; Fermi-level density of states = 1.21 states/eV/atom; V = 98 Å³ per cell; magnetic moment = 0.9 μB/cell; SG = P4/mmm (123)
1.0
4.627 0.000 0.000
0.000 4.560 0.000
0.000 0.000 4.627
Ru Ag Sn Mg
2 1 1 1
direct
0.000 0.000 0.500
0.500 0.000 0.000
0.000 0.500 0.000
0.500 0.500 0.500
0.000 0.000 0.000


(10)
BeAl2S4 | Alexandria via LeMat-Bulk | GGA-PBE | relaxed; Fermi-level density of states = 0.00 states/eV/atom; polymorph energy (0 for the lowest one) = 0.0 kJ/mol of formula units; V = 136 Å³ per cell; magnetic moment = 0.0 μB/cell; SG = I-42m (121)
1.0
5.185 0.000 0.000
0.000 5.185 0.000
-2.592 -2.592 5.075
S Al Be
4 2 1
direct
0.857 0.376 0.233
0.624 0.624 0.767
0.143 0.143 0.767
0.376 0.857 0.233
0.750 0.250 0.500
0.250 0.750 0.500
0.500 0.500 0.000


(11)
Th6ReOs2Se3 | Alexandria via LeMat-Bulk | GGA-PBE | relaxed; VASP energy = -8.38 eV/atom; Fermi-level density of states = 0.45 states/eV/atom; V = 326 Å³ per cell; magnetic moment = 0.0 μB/cell; SG = C2/m (12)
1.0
4.133 0.000 0.000
0.000 8.764 -0.007
-2.066 -2.861 8.997
Se Os Th Re
3 2 6 1
direct
0.833 0.167 0.667
0.167 0.833 0.333
0.500 0.500 0.000
0.167 0.334 0.335
0.833 0.666 0.665
0.675 0.562 0.350
0.007 0.230 0.014
0.325 0.438 0.650
0.342 0.898 0.684
0.658 0.102 0.316
0.993 0.770 0.986
0.500 0.000 0.000


(12)
Tb6PmSc2 | Alexandria via LeMat-Bulk | GGA-PBE | relaxed; Fermi-level density of states = 1.13 states/eV/atom; polymorph energy (0 for the lowest one) = 0.0 kJ/mol of formula units; V = 555 Å³ per cell; magnetic moment = 0.0 μB/cell; SG = C2/c (15)
1.0
-4.676 0.901 4.516
-2.814 -8.819 1.225
5.054 -0.927 7.797
Sc Tb Pm
4 12 2
direct
0.129 0.653 0.711
0.629 0.711 0.653
0.871 0.347 0.289
0.371 0.289 0.347
0.677 0.207 0.034
0.323 0.793 0.966
0.735 0.051 0.463
0.999 0.332 0.615
0.765 0.537 0.949
0.265 0.949 0.537
0.001 0.668 0.385
0.235 0.463 0.051
0.177 0.034 0.207
0.501 0.385 0.668
0.499 0.615 0.332
0.823 0.966 0.793
0.250 0.143 0.857
0.750 0.857 0.143


> What is the formula in the seventh record?

YReAu